Density functional theory data (PBE) for a relaxed structure of TlCdAs.

Unit cell a=4.6793 b=5.2024 c=12.4143 alpha=90.00 beta=90.00 gamma=90.00
With the nearest neighbours (Å) after each atom.
Space group Fmm2 (No. 42)
One atom of each set of equivalent atoms:
1 Tl 0.0000 0.0000 0.0000 x4  4 As 3.23-3.42, 4 Cd 3.35-3.54, 4 Tl 3.50
2 Cd 0.0000 0.0000 0.3071 x4  4 As 2.83-3.05
3 As 0.0000 0.0000 0.6793 x4  4 Cd 2.83-3.05

## Properties
Mass density   8.61 Mg/m³
E_form   164 meV/atom